Record 1
# Fe2SbRu

A geometry-optimized Fe2SbRu structure (PBE, the Alexandria database).

Results
space group = I-42d
total moment = 0.0 μB/cell
volume = 19.9 Å³ per atom
energy relative to the elements, uncorrected = 0.975 eV per atom
crystal system = tetragonal

Structure (POSCAR):
```
Fe2SbRu
1.0
-2.661 2.661 5.631
2.661 -2.661 5.631
2.661 2.661 -5.631
Fe Sb Ru
4 2 2
Cartesian
3.991 1.112 -1.408
1.112 1.330 1.408
-1.330 1.548 4.223
1.548 1.330 7.038
2.661 0.000 2.815
0.000 0.000 5.631
0.000 0.000 0.000
0.000 2.661 2.815
```

---

Record 2
# BeAg2Te

A geometry-optimized BeAg2Te structure (PBE, the Alexandria database).

Results
space group = Immm
total moment = 0.0 μB/cell
E above lowest polymorph = 0.1809 eV per atom
volume = 19.9 Å³ per atom
energy relative to the elements, uncorrected = 0.319 eV per atom
crystal system = orthorhombic

Structure (POSCAR):
```
BeAg2Te
1.0
-1.766 1.828 6.170
1.766 -1.828 6.170
1.766 1.828 -6.170
Be Ag Te
1 2 1
Cartesian
0.000 0.000 0.000
1.766 0.000 2.378
0.000 1.828 3.792
0.000 0.000 6.170
```

---

Record 3
# Sr2HgPt

A geometry-optimized Sr2HgPt structure (PBE, the Alexandria database).

Results
space group = I-42d
total moment = 0.0 μB/cell
volume = 33.3 Å³ per atom
crystal system = tetragonal
calculated total energy = -22.44 eV per cell

Structure (POSCAR):
```
Sr2HgPt
1.0
-4.186 4.186 3.802
4.186 -4.186 3.802
4.186 4.186 -3.802
Sr Hg Pt
4 2 2
Cartesian
6.279 1.795 -0.950
1.795 2.093 0.950
-2.093 2.391 2.851
2.391 2.093 4.752
4.186 0.000 1.901
0.000 0.000 3.802
0.000 0.000 0.000
0.000 4.186 1.901
```